## NaAcHoSn (PBE)

Data for a geometry-optimized NaAcHoSn structure.

a = 5.5948 Å, b = 5.5948 Å, c = 5.5948 Å
α = 60.00°, β = 60.00°, γ = 60.00°
Element x y z (fractional)
Na 0.0000 0.0000 0.0000
Ac 0.7500 0.7500 0.7500
Ho 0.2500 0.2500 0.2500
Sn 0.5000 0.5000 0.5000

Space group: F-43m
Formation enthalpy at 0 K in eV/atom: -0.2226
N(E_F) in states/eV/cell: 3.646
Volume in Å³/cell: 124

## KCa2MgRh (PBE)

Data for a geometry-optimized KCa2MgRh structure.

a = 5.5577 Å, b = 5.5577 Å, c = 5.3815 Å
α = 90.00°, β = 90.00°, γ = 90.00°
Element x y z (fractional)
K 0.0000 0.0000 0.0000
Ca 0.0000 0.5000 0.5000
Ca 0.5000 0.0000 0.5000
Mg 0.5000 0.5000 0.0000
Rh 0.5000 0.5000 0.5000

Space group: P4/mmm
Formation enthalpy at 0 K in eV/atom: -0.1541
N(E_F) in states/eV/cell: 3.775
Volume in Å³/cell: 166

## Tl2OsRh (PBE)

Data for a geometry-optimized Tl2OsRh structure.

a = 3.0711 Å, b = 3.0711 Å, c = 9.0503 Å
α = 90.00°, β = 90.00°, γ = 117.60°
Element x y z (fractional)
Tl 0.0000 0.0000 0.2457
Tl 0.0000 0.0000 0.7543
Os 0.5000 0.5000 0.5000
Rh 0.5000 0.5000 0.0000

Space group: Cmmm
Formation enthalpy at 0 K in eV/atom: 0.7701
N(E_F) in states/eV/cell: 3.247
Volume in Å³/cell: 76